A geometry-optimized Na2BPbW structure, computed with GGA-PBEsol.

Properties
DOS at the Fermi energy, states/eV/cell: 3.56
Formation energy, eV per formula unit: 8.87
Symmetry: P4/mmm
Calculated density, g/cm3: 6.72

a b c (Å): 4.801 4.801 4.799
angles (deg): 90.00 90.00 90.00
Sites, in units of the cell vectors:
Na1 0.000 0.500 0.000
Na2 0.500 0.000 0.000
B1 0.000 0.000 0.000
Pb1 0.000 0.000 0.500
W1 0.500 0.500 0.500